# 1
# CuPOs2Se, optimized geometry, DFT PBE
# symmetry: P4/mmm (123)
# ΔE_f (raw): 1659 meV/atom
data_CuPOs2Se
_symmetry_space_group_name_H-M 'P 1'
_symmetry_Int_Tables_number 1
_cell_length_a 4.5759
_cell_length_b 4.5759
_cell_length_c 4.3956
_cell_angle_alpha 90.00
_cell_angle_beta 90.00
_cell_angle_gamma 90.00
loop_
_symmetry_equiv_pos_as_xyz
'x,y,z'
loop_
_atom_site_label
_atom_site_type_symbol
_atom_site_fract_x
_atom_site_fract_y
_atom_site_fract_z
_atom_site_occupancy
Cu1 Cu 0.0000 0.0000 0.0000 1
P1 P 0.5000 0.5000 0.0000 1
Os1 Os 0.0000 0.5000 0.5000 1
Os2 Os 0.5000 0.0000 0.5000 1
Se1 Se 0.0000 0.0000 0.5000 1

# 2
# CuSiPOs2, optimized geometry, DFT PBE
# symmetry: P4/mmm (123)
# ΔE_f (raw): 1173 meV/atom
data_CuSiPOs2
_symmetry_space_group_name_H-M 'P 1'
_symmetry_Int_Tables_number 1
_cell_length_a 4.3568
_cell_length_b 4.3568
_cell_length_c 4.4650
_cell_angle_alpha 90.00
_cell_angle_beta 90.00
_cell_angle_gamma 90.00
loop_
_symmetry_equiv_pos_as_xyz
'x,y,z'
loop_
_atom_site_label
_atom_site_type_symbol
_atom_site_fract_x
_atom_site_fract_y
_atom_site_fract_z
_atom_site_occupancy
Cu1 Cu 0.0000 0.0000 0.0000 1
Si1 Si 0.5000 0.5000 0.0000 1
P1 P 0.5000 0.5000 0.5000 1
Os1 Os 0.0000 0.5000 0.5000 1
Os2 Os 0.5000 0.0000 0.5000 1

# 3
# Sr2CuPOs, optimized geometry, DFT PBE
# energy of formation from the pure elements: 0.480 eV per atom
# symmetry: P4/mmm (123)
data_Sr2CuPOs
_symmetry_space_group_name_H-M 'P 1'
_symmetry_Int_Tables_number 1
_cell_length_a 5.8224
_cell_length_b 5.8224
_cell_length_c 4.1995
_cell_angle_alpha 90.00
_cell_angle_beta 90.00
_cell_angle_gamma 90.00
loop_
_symmetry_equiv_pos_as_xyz
'x,y,z'
loop_
_atom_site_label
_atom_site_type_symbol
_atom_site_fract_x
_atom_site_fract_y
_atom_site_fract_z
_atom_site_occupancy
Sr1 Sr 0.0000 0.5000 0.0000 1
Sr2 Sr 0.5000 0.0000 0.0000 1
Cu1 Cu 0.0000 0.0000 0.5000 1
P1 P 0.0000 0.0000 0.0000 1
Os1 Os 0.5000 0.5000 0.5000 1

# 4
# CuTe2POs, optimized geometry, DFT PBE
# symmetry: P4/mmm (123)
# ΔE_f (raw): 1332 meV/atom
data_CuTe2POs
_symmetry_space_group_name_H-M 'P 1'
_symmetry_Int_Tables_number 1
_cell_length_a 5.1107
_cell_length_b 5.1107
_cell_length_c 4.1219
_cell_angle_alpha 90.00
_cell_angle_beta 90.00
_cell_angle_gamma 90.00
loop_
_symmetry_equiv_pos_as_xyz
'x,y,z'
loop_
_atom_site_label
_atom_site_type_symbol
_atom_site_fract_x
_atom_site_fract_y
_atom_site_fract_z
_atom_site_occupancy
Cu1 Cu 0.0000 0.0000 0.0000 1
Te1 Te 0.0000 0.5000 0.0000 1
Te2 Te 0.5000 0.0000 0.0000 1
P1 P 0.0000 0.0000 0.5000 1
Os1 Os 0.5000 0.5000 0.5000 1

# 5
# Zr2CuPOs, optimized geometry, DFT PBE
# energy of formation from the pure elements: 0.153 eV per atom
# symmetry: P4/mmm (123)
data_Zr2CuPOs
_symmetry_space_group_name_H-M 'P 1'
_symmetry_Int_Tables_number 1
_cell_length_a 4.8633
_cell_length_b 4.8633
_cell_length_c 4.2872
_cell_angle_alpha 90.00
_cell_angle_beta 90.00
_cell_angle_gamma 90.00
loop_
_symmetry_equiv_pos_as_xyz
'x,y,z'
loop_
_atom_site_label
_atom_site_type_symbol
_atom_site_fract_x
_atom_site_fract_y
_atom_site_fract_z
_atom_site_occupancy
Zr1 Zr 0.0000 0.5000 0.0000 1
Zr2 Zr 0.5000 0.0000 0.0000 1
Cu1 Cu 0.0000 0.0000 0.5000 1
P1 P 0.5000 0.5000 0.0000 1
Os1 Os 0.5000 0.5000 0.5000 1

# 6
# PaCuOs2, optimized geometry, DFT PBE
# offset from the most stable computed form: 128 meV per atom
# energy of formation from the pure elements: -0.005 eV per atom
# symmetry: R-3m (166)
data_PaCuOs2
_symmetry_space_group_name_H-M 'P 1'
_symmetry_Int_Tables_number 1
_cell_length_a 5.1293
_cell_length_b 5.1293
_cell_length_c 5.1293
_cell_angle_alpha 52.63
_cell_angle_beta 52.63
_cell_angle_gamma 52.63
loop_
_symmetry_equiv_pos_as_xyz
'x,y,z'
loop_
_atom_site_label
_atom_site_type_symbol
_atom_site_fract_x
_atom_site_fract_y
_atom_site_fract_z
_atom_site_occupancy
Pa1 Pa 0.0000 0.0000 0.0000 1
Cu1 Cu 0.5000 0.5000 0.5000 1
Os1 Os 0.1844 0.1844 0.1844 1
Os2 Os 0.8156 0.8156 0.8156 1

# 7
# PaCuOs2, optimized geometry, DFT PBE
# offset from the most stable computed form: 0 meV per atom
# energy of formation from the pure elements: -0.133 eV per atom
# symmetry: P4/mmm (123)
data_PaCuOs2
_symmetry_space_group_name_H-M 'P 1'
_symmetry_Int_Tables_number 1
_cell_length_a 4.1139
_cell_length_b 4.1139
_cell_length_c 3.9122
_cell_angle_alpha 90.00
_cell_angle_beta 90.00
_cell_angle_gamma 90.00
loop_
_symmetry_equiv_pos_as_xyz
'x,y,z'
loop_
_atom_site_label
_atom_site_type_symbol
_atom_site_fract_x
_atom_site_fract_y
_atom_site_fract_z
_atom_site_occupancy
Pa1 Pa 0.0000 0.0000 0.0000 1
Cu1 Cu 0.5000 0.5000 0.0000 1
Os1 Os 0.0000 0.5000 0.5000 1
Os2 Os 0.5000 0.0000 0.5000 1

# 8
# PmPaCuOs, optimized geometry, DFT PBE
# energy of formation from the pure elements: -0.049 eV per atom
# symmetry: F-43m (216)
data_PmPaCuOs
_symmetry_space_group_name_H-M 'P 1'
_symmetry_Int_Tables_number 1
_cell_length_a 4.9205
_cell_length_b 4.9205
_cell_length_c 4.9205
_cell_angle_alpha 60.00
_cell_angle_beta 60.00
_cell_angle_gamma 60.00
loop_
_symmetry_equiv_pos_as_xyz
'x,y,z'
loop_
_atom_site_label
_atom_site_type_symbol
_atom_site_fract_x
_atom_site_fract_y
_atom_site_fract_z
_atom_site_occupancy
Pm1 Pm 0.0000 0.0000 0.0000 1
Pa1 Pa 0.5000 0.5000 0.5000 1
Cu1 Cu 0.7500 0.7500 0.7500 1
Os1 Os 0.2500 0.2500 0.2500 1

# 9
# PrPaCuOs, optimized geometry, DFT PBE
# energy of formation from the pure elements: 0.015 eV per atom
# symmetry: F-43m (216)
data_PrPaCuOs
_symmetry_space_group_name_H-M 'P 1'
_symmetry_Int_Tables_number 1
_cell_length_a 4.9526
_cell_length_b 4.9526
_cell_length_c 4.9526
_cell_angle_alpha 60.00
_cell_angle_beta 60.00
_cell_angle_gamma 60.00
loop_
_symmetry_equiv_pos_as_xyz
'x,y,z'
loop_
_atom_site_label
_atom_site_type_symbol
_atom_site_fract_x
_atom_site_fract_y
_atom_site_fract_z
_atom_site_occupancy
Pr1 Pr 0.0000 0.0000 0.0000 1
Pa1 Pa 0.5000 0.5000 0.5000 1
Cu1 Cu 0.7500 0.7500 0.7500 1
Os1 Os 0.2500 0.2500 0.2500 1

# 10
# PuPaCuOs, optimized geometry, DFT PBE
# energy of formation from the pure elements: -0.049 eV per atom
# symmetry: F-43m (216)
data_PuPaCuOs
_symmetry_space_group_name_H-M 'P 1'
_symmetry_Int_Tables_number 1
_cell_length_a 4.8449
_cell_length_b 4.8449
_cell_length_c 4.8449
_cell_angle_alpha 60.00
_cell_angle_beta 60.00
_cell_angle_gamma 60.00
loop_
_symmetry_equiv_pos_as_xyz
'x,y,z'
loop_
_atom_site_label
_atom_site_type_symbol
_atom_site_fract_x
_atom_site_fract_y
_atom_site_fract_z
_atom_site_occupancy
Pu1 Pu 0.0000 0.0000 0.0000 1
Pa1 Pa 0.5000 0.5000 0.5000 1
Cu1 Cu 0.7500 0.7500 0.7500 1
Os1 Os 0.2500 0.2500 0.2500 1

# 11
# ScPaCuOs, optimized geometry, DFT PBE
# energy of formation from the pure elements: -0.220 eV per atom
# symmetry: F-43m (216)
data_ScPaCuOs
_symmetry_space_group_name_H-M 'P 1'
_symmetry_Int_Tables_number 1
_cell_length_a 4.7506
_cell_length_b 4.7506
_cell_length_c 4.7506
_cell_angle_alpha 60.00
_cell_angle_beta 60.00
_cell_angle_gamma 60.00
loop_
_symmetry_equiv_pos_as_xyz
'x,y,z'
loop_
_atom_site_label
_atom_site_type_symbol
_atom_site_fract_x
_atom_site_fract_y
_atom_site_fract_z
_atom_site_occupancy
Sc1 Sc 0.0000 0.0000 0.0000 1
Pa1 Pa 0.5000 0.5000 0.5000 1
Cu1 Cu 0.2500 0.2500 0.2500 1
Os1 Os 0.7500 0.7500 0.7500 1

# 12
# Pa2CuSi4Os3, optimized geometry, DFT PBE
# symmetry: P-4m2 (115)
# ΔE_f (raw): -533 meV/atom
data_Pa2CuSi4Os3
_symmetry_space_group_name_H-M 'P 1'
_symmetry_Int_Tables_number 1
_cell_length_a 4.0755
_cell_length_b 4.0755
_cell_length_c 10.0713
_cell_angle_alpha 90.00
_cell_angle_beta 90.00
_cell_angle_gamma 90.00
loop_
_symmetry_equiv_pos_as_xyz
'x,y,z'
loop_
_atom_site_label
_atom_site_type_symbol
_atom_site_fract_x
_atom_site_fract_y
_atom_site_fract_z
_atom_site_occupancy
Pa1 Pa 0.0000 0.5000 0.2441 1
Pa2 Pa 0.5000 0.0000 0.7559 1
Cu1 Cu 0.0000 0.0000 0.5000 1
Si1 Si 0.0000 0.0000 0.0000 1
Si2 Si 0.0000 0.5000 0.6312 1
Si3 Si 0.5000 0.0000 0.3688 1
Si4 Si 0.5000 0.5000 0.0000 1
Os1 Os 0.0000 0.5000 0.8670 1
Os2 Os 0.5000 0.0000 0.1330 1
Os3 Os 0.5000 0.5000 0.5000 1

# 13
# SmPaCuOs, optimized geometry, DFT PBE
# energy of formation from the pure elements: -0.069 eV per atom
# symmetry: F-43m (216)
data_SmPaCuOs
_symmetry_space_group_name_H-M 'P 1'
_symmetry_Int_Tables_number 1
_cell_length_a 4.9099
_cell_length_b 4.9099
_cell_length_c 4.9099
_cell_angle_alpha 60.00
_cell_angle_beta 60.00
_cell_angle_gamma 60.00
loop_
_symmetry_equiv_pos_as_xyz
'x,y,z'
loop_
_atom_site_label
_atom_site_type_symbol
_atom_site_fract_x
_atom_site_fract_y
_atom_site_fract_z
_atom_site_occupancy
Sm1 Sm 0.0000 0.0000 0.0000 1
Pa1 Pa 0.5000 0.5000 0.5000 1
Cu1 Cu 0.2500 0.2500 0.2500 1
Os1 Os 0.7500 0.7500 0.7500 1

# 14
# Pa3CuSn3Os2, optimized geometry, DFT PBE
# energy of formation from the pure elements: -0.355 eV per atom
# symmetry: P-62m (189)
data_Pa3CuSn3Os2
_symmetry_space_group_name_H-M 'P 1'
_symmetry_Int_Tables_number 1
_cell_length_a 7.5786
_cell_length_b 7.5786
_cell_length_c 3.8542
_cell_angle_alpha 90.00
_cell_angle_beta 90.00
_cell_angle_gamma 120.00
loop_
_symmetry_equiv_pos_as_xyz
'x,y,z'
loop_
_atom_site_label
_atom_site_type_symbol
_atom_site_fract_x
_atom_site_fract_y
_atom_site_fract_z
_atom_site_occupancy
Pa1 Pa 0.0000 0.4100 0.0000 1
Pa2 Pa 0.4100 0.0000 0.0000 1
Pa3 Pa 0.5900 0.5900 0.0000 1
Cu1 Cu 0.0000 0.0000 0.0000 1
Sn1 Sn 0.0000 0.7496 0.5000 1
Sn2 Sn 0.2504 0.2504 0.5000 1
Sn3 Sn 0.7496 0.0000 0.5000 1
Os1 Os 0.3333 0.6667 0.5000 1
Os2 Os 0.6667 0.3333 0.5000 1